[1]
Density functional theory data (SCAN) for a crystal of Be4MoAu relaxed with PBEsol.

## Properties
Formation energy   -0.03 eV per atom

abc: 4.469 4.469 4.469
angles: 60.00 60.00 60.00
Element x y z (fractional)
Be (0.379, 0.379, 0.379)
Be (0.379, 0.379, 0.863)
Be (0.379, 0.863, 0.379)
Be (0.863, 0.379, 0.379)
Mo (0.750, 0.750, 0.750)
Au (0.000, 0.000, 0.000)

[2]
Density functional theory data (SCAN) for a crystal of Li3InSn relaxed with PBEsol.

## Properties
Formation energy   0.03 eV per atom

abc: 5.093 5.093 5.093
angles: 90.00 90.00 90.00
Element x y z (fractional)
Li (0.000, 0.000, 0.500)
Li (0.000, 0.500, 0.000)
Li (0.500, 0.000, 0.000)
In (0.500, 0.500, 0.500)
Sn (0.000, 0.000, 0.000)

[3]
Density functional theory data (SCAN) for a crystal of BiTe2F relaxed with PBEsol.

## Properties
Raw formation energy   -286.2 meV per atom

abc: 7.901 7.901 7.901
angles: 28.78 28.78 28.78
Element x y z (fractional)
Bi (0.000, 0.000, 0.000)
Te (0.242, 0.242, 0.242)
Te (0.758, 0.758, 0.758)
F (0.500, 0.500, 0.500)

[4]
Density functional theory data (SCAN) for a crystal of Cu2TcPb relaxed with PBEsol.

## Properties
Formation energy   0.55 eV per atom

abc: 2.900 3.218 6.614
angles: 90.00 90.00 90.00
Element x y z (fractional)
Cu (0.000, 0.000, 0.000)
Cu (0.500, 0.500, 0.183)
Tc (0.500, 0.500, 0.784)
Pb (0.000, 0.000, 0.485)

The records above yield total magnetization values of 0.00, 0.00, 0.93, 0.00 Bohr magnetons per cell, respectively.
The records above yield density values of 8.66, 3.20, 7.94, 11.63 g/cm3, respectively.
The records above yield N(E_F) values of 2.4, 2.5, 3.6, 2.9 states/eV/f.u., respectively.